1.
Computed, not measured: crystalline U2TlTe4 at its relaxed geometry at the PBE-GGA level of DFT.

Cell lengths 9.328, 9.423, 9.428 Å; angles 120.65, 119.65, 90.08 degrees
Last column: magnetic moment on the atom in μB.
Sites, in units of the cell vectors:
U  0.625  0.375  0.750  -2.53
U  0.625  0.875  0.250  -2.53
U  0.625  0.375  0.250  2.57
U  0.125  0.375  0.750  -2.53
Tl  0.252  0.748  0.504  0.01
Tl  0.998  0.002  0.996  0.01
Te  0.861  0.140  0.281  0.03
Te  0.389  0.610  0.219  0.03
Te  0.861  0.580  0.721  0.03
Te  0.859  0.141  0.718  0.07
Te  0.420  0.139  0.281  0.03
Te  0.389  0.170  0.779  0.03
Te  0.391  0.609  0.782  0.07
Te  0.830  0.611  0.219  0.03

Computed properties:
The formation energy without anion corrections is -0.487 eV/atom. The relative energy among the computed polymorphs is 40 meV per atom.

2.
Computed, not measured: crystalline LiMgIn3 at its relaxed geometry at the PBE-GGA level of DFT.

Cell lengths 5.336, 7.176, 6.718 Å; angles 90.00, 106.68, 90.00 degrees
Sites, in units of the cell vectors:
Li  0.844  0.750  0.739
Li  0.156  0.250  0.261
Mg  0.423  0.750  0.026
Mg  0.577  0.250  0.974
In  0.692  0.037  0.382
In  0.308  0.963  0.618
In  0.308  0.537  0.618
In  0.692  0.463  0.382
In  0.995  0.750  0.207
In  0.005  0.250  0.793

Computed properties:
The value obtained for the energy of formation from the pure elements is -80 meV/atom. The relative energy among the computed polymorphs is 39 meV per atom.

3.
Computed, not measured: crystalline Tl2InB at its relaxed geometry at the PBE-GGA level of DFT.

Cell lengths 6.657, 6.657, 6.944 Å; angles 61.35, 61.35, 90.00 degrees
Sites, in units of the cell vectors:
Tl  0.509  0.125  0.250
Tl  0.241  0.625  0.250
Tl  0.375  0.491  0.750
Tl  0.875  0.759  0.750
B  0.500  0.500  0.000
B  0.250  0.750  0.500
In  0.000  0.000  0.000
In  0.750  0.250  0.500

Computed properties:
The value obtained for the energy of formation from the pure elements is 748 meV/atom. The relative energy among the computed polymorphs is 0 meV per atom.

4.
Computed, not measured: crystalline Pm8Er2Sc3 at its relaxed geometry at the PBE-GGA level of DFT.

Cell lengths 5.597, 7.603, 10.579 Å; angles 111.06, 90.01, 90.00 degrees
Sites, in units of the cell vectors:
Pm  0.001  0.671  0.342
Pm  0.999  0.329  0.658
Pm  0.000  0.125  0.249
Pm  0.000  0.875  0.751
Pm  0.500  0.603  0.798
Pm  0.500  0.195  0.798
Pm  0.500  0.805  0.202
Pm  0.500  0.397  0.202
Er  0.499  0.238  0.477
Er  0.501  0.762  0.523
Sc  0.500  0.000  0.000
Sc  0.000  0.295  0.000
Sc  0.000  0.705  0.000

Computed properties:
The value obtained for the energy of formation from the pure elements is 204 meV/atom. The relative energy among the computed polymorphs is 22 meV per atom.

5.
Computed, not measured: crystalline MgPaAuO5 at its relaxed geometry at the PBE-GGA level of DFT.

Cell lengths 5.884, 5.884, 8.360 Å; angles 109.88, 109.88, 91.27 degrees
Last column: magnetic moment on the atom in μB.
Sites, in units of the cell vectors:
Mg  0.321  0.679  0.250  0.00
Mg  0.679  0.321  0.750  0.00
Pa  0.000  0.000  0.500  0.07
Pa  0.000  0.000  0.000  0.07
Au  0.687  0.313  0.250  0.48
Au  0.313  0.687  0.750  0.48
O  0.075  0.925  0.250  0.05
O  0.925  0.075  0.750  0.05
O  0.733  0.258  0.008  0.18
O  0.267  0.742  0.992  0.18
O  0.742  0.267  0.492  0.18
O  0.258  0.733  0.508  0.18
O  0.685  0.723  0.354  0.25
O  0.315  0.277  0.646  0.25
O  0.277  0.315  0.146  0.25
O  0.723  0.685  0.854  0.25

Computed properties:
The formation energy without anion corrections is -1.950 eV/atom.

6.
Computed, not measured: crystalline BaPa2TlO8 at its relaxed geometry at the PBE-GGA level of DFT.

Cell lengths 5.386, 5.400, 7.268 Å; angles 90.00, 90.00, 86.84 degrees
Last column: magnetic moment on the atom in μB.
Sites, in units of the cell vectors:
Ba  0.000  0.000  0.500  0.00
Pa  0.500  0.500  0.753  -0.02
Pa  0.500  0.500  0.247  -0.02
Tl  0.000  0.000  0.000  -0.01
O  0.218  0.781  0.216  0.09
O  0.674  0.675  0.000  0.15
O  0.782  0.219  0.216  0.09
O  0.782  0.219  0.784  0.09
O  0.326  0.325  0.000  0.15
O  0.218  0.781  0.784  0.09
O  0.662  0.663  0.500  0.06
O  0.338  0.337  0.500  0.06

Computed properties:
The formation energy without anion corrections is -2.589 eV/atom.

7.
Computed, not measured: crystalline PuSn2Hg at its relaxed geometry at the PBE-GGA level of DFT.

Cell lengths 5.319, 5.319, 7.805 Å; angles 70.08, 70.08, 60.00 degrees
Last column: magnetic moment on the atom in μB.
Sites, in units of the cell vectors:
Hg  0.000  0.000  0.000  0.00
Sn  0.133  0.133  0.601  0.05
Sn  0.867  0.867  0.399  0.05
Pu  0.500  0.500  0.500  5.62

Computed properties:
The value obtained for the energy of formation from the pure elements is 300 meV/atom.

8.
Computed, not measured: crystalline Er3CuC at its relaxed geometry at the PBE-GGA level of DFT.

Cell lengths 4.797, 4.797, 4.797 Å; angles 90.00, 90.00, 90.00 degrees
Last column: magnetic moment on the atom in μB.
Sites, in units of the cell vectors:
C  0.000  0.000  0.000  0.00
Cu  0.500  0.500  0.500  0.01
Er  0.000  0.500  0.000  0.09
Er  0.000  0.000  0.500  0.09
Er  0.500  0.000  0.000  0.09

Computed properties:
The value obtained for the energy of formation from the pure elements is -116 meV/atom. The relative energy among the computed polymorphs is 110 meV per atom.

9.
Computed, not measured: crystalline Nd3Y5Ho3 at its relaxed geometry at the PBE-GGA level of DFT.

Cell lengths 5.587, 9.806, 9.806 Å; angles 120.00, 90.00, 90.00 degrees
Sites, in units of the cell vectors:
Nd  0.000  0.554  0.000
Nd  0.000  0.000  0.554
Nd  0.000  0.446  0.446
Y  0.500  0.667  0.333
Y  0.500  0.333  0.667
Y  0.500  0.352  0.000
Y  0.500  0.648  0.648
Y  0.500  0.000  0.352
Ho  0.500  0.703  0.000
Ho  0.500  0.297  0.297
Ho  0.500  0.000  0.703

Computed properties:
The value obtained for the energy of formation from the pure elements is 783 meV/atom. The relative energy among the computed polymorphs is 0 meV per atom.

10.
Computed, not measured: crystalline YHf4Ru5 at its relaxed geometry at the PBE-GGA level of DFT.

Cell lengths 3.264, 3.264, 16.527 Å; angles 90.00, 90.00, 90.00 degrees
Sites, in units of the cell vectors:
Y  0.000  0.000  0.000
Hf  0.000  0.000  0.204
Hf  0.000  0.000  0.401
Hf  0.000  0.000  0.599
Hf  0.000  0.000  0.796
Ru  0.500  0.500  0.114
Ru  0.500  0.500  0.306
Ru  0.500  0.500  0.500
Ru  0.500  0.500  0.694
Ru  0.500  0.500  0.886

Computed properties:
The value obtained for the energy of formation from the pure elements is -736 meV/atom.

11.
Computed, not measured: crystalline CuBiSbI2 at its relaxed geometry at the PBE-GGA level of DFT.

Cell lengths 6.127, 6.127, 6.107 Å; angles 90.00, 90.00, 90.00 degrees
Last column: magnetic moment on the atom in μB.
Sites, in units of the cell vectors:
I  0.000  0.500  0.000  0.03
I  0.500  0.000  0.000  0.03
Sb  0.000  0.000  0.500  0.50
Bi  0.000  0.000  0.000  -0.12
Cu  0.500  0.500  0.500  -0.07

Computed properties:
The formation energy without anion corrections is 0.752 eV/atom. The relative energy among the computed polymorphs is 425 meV per atom.

12.
Computed, not measured: crystalline Li2ZnCu7Sn2 at its relaxed geometry at the PBE-GGA level of DFT.

Cell lengths 3.916, 3.916, 12.798 Å; angles 72.59, 72.59, 91.01 degrees
Sites, in units of the cell vectors:
Li  0.798  0.798  0.701
Li  0.202  0.202  0.299
Zn  0.000  0.000  0.000
Cu  0.500  0.500  0.000
Cu  0.236  0.236  0.500
Cu  0.764  0.764  0.500
Cu  0.859  0.359  0.142
Cu  0.359  0.859  0.142
Cu  0.641  0.141  0.858
Cu  0.141  0.641  0.858
Sn  0.694  0.694  0.307
Sn  0.306  0.306  0.693

Computed properties:
The value obtained for the energy of formation from the pure elements is -1 meV/atom.